Material: La2AlRh4
Method: DFT, GGA-PBE
State: optimized geometry

Results
total magnetization	0.00	μB per cell
raw total energy	-92.28	eV per cell

a b c (Å): 4.6114 4.6114 13.8870
angles (deg): 90.00 90.00 90.00
Space group I4/mmm (No. 139)
One atom of each set of equivalent atoms:
La (0.0000, 0.0000, 0.1501) (multiplicity 4)
Al (0.0000, 0.0000, 0.5000) (multiplicity 2)
Rh (0.0000, 0.0000, 0.3310) (multiplicity 4)
Rh (0.0000, 0.5000, 0.0000) (multiplicity 4)